DFT (PBE) results for a geometry-optimized Rb2Nd4Cu4S9 structure.

```
19
Lattice="7.069 -2.028 0.000 7.069 2.028 0.000 -5.407 0.000 15.524" Properties=species:S:1:pos:R:3 pbc="T T T"
Cu 10.240 0.000 8.369
Cu -1.509 0.000 7.156
Cu -0.580 0.000 12.011
Cu 9.310 0.000 3.513
Nd 1.656 0.000 6.160
Nd 7.074 0.000 9.364
Nd 1.898 0.000 0.836
Nd 6.832 0.000 14.688
S 7.069 0.000 0.000
S 10.618 0.000 5.840
S -1.887 0.000 9.684
S -2.015 0.000 13.902
S 10.745 0.000 1.623
S 2.060 0.000 8.928
S 1.031 0.000 3.459
S 6.670 0.000 6.596
S 7.700 0.000 12.065
Rb 5.446 0.000 3.582
Rb 3.285 0.000 11.943
```

Summary:
**Total energy**: -5.23 eV per atom
**Space group**: No. 12